Arrangement a

Material: BaTa3Tl
Method: DFT, PBE-GGA
State: relaxed

Summary:
The space group is Pm-3m. The spin magnetization comes out at 0.000 μB per atom.

abc: 5.1412 5.1412 5.1412
angles: 90.00 90.00 90.00
Closest atoms and distances in Å follow each position.
Positions (direct):
Tl 0.5000 0.5000 0.5000  12 Ta 3.64
Ta 0.5000 0.0000 0.0000  2 Ba 2.57
Ba 0.0000 0.0000 0.0000  6 Ta 2.57
Ta 0.0000 0.0000 0.5000  2 Ba 2.57
Ta 0.0000 0.5000 0.0000  2 Ba 2.57

***

Arrangement b

Material: BaTa3Tl
Method: DFT, PBE-GGA
State: relaxed

Summary:
The space group is Pm-3m. The spin magnetization comes out at 0.683 μB per atom.

abc: 5.3065 5.3065 5.3065
angles: 90.00 90.00 90.00
Closest atoms and distances in Å follow each position.
Positions (direct):
Ba 0.5000 0.5000 0.5000  12 Ta 3.75
Tl 0.0000 0.0000 0.0000  6 Ta 2.65
Ta 0.0000 0.0000 0.5000  2 Tl 2.65
Ta 0.0000 0.5000 0.0000  2 Tl 2.65
Ta 0.5000 0.0000 0.0000  2 Tl 2.65

***

So which one is most stable? That would be arrangement b, about 735 meV/atom below the next structure.

***

Arrangement a

Material: BaTa2V
Method: DFT, PBE-GGA
State: relaxed

Summary:
The space group is Fm-3m. The spin magnetization comes out at 0.001 μB per atom.

abc: 4.8714 4.8714 4.8714
angles: 60.00 60.00 60.00
Closest atoms and distances in Å follow each position.
Positions (direct):
V 0.0000 0.0000 0.0000  8 Ta 2.98
Ba 0.5000 0.5000 0.5000  8 Ta 2.98
Ta 0.7500 0.7500 0.7500  4 Ba 2.98, 4 V 2.98
Ta 0.2500 0.2500 0.2500  4 Ba 2.98, 4 V 2.98

***

Arrangement b

Material: BaTa2V
Method: DFT, PBE-GGA
State: relaxed

Summary:
The space group is I-42d. The spin magnetization comes out at 0.000 μB per atom.

abc: 5.3018 5.3018 9.4413
angles: 73.69 73.69 90.00
Closest atoms and distances in Å follow each position.
Positions (direct):
Ba 0.7500 0.2500 0.5000  8 Ta 3.67-3.68, 4 V 3.75
Ta 0.3761 0.1250 0.2500  2 V 2.54, 2 Ta 2.65
Ba 0.0000 0.0000 0.0000  8 Ta 3.67-3.68, 4 V 3.75
Ta 0.8750 0.6261 0.7500  2 V 2.54, 2 Ta 2.65
Ta 0.3739 0.6250 0.2500  2 V 2.54, 2 Ta 2.65
V 0.5000 0.5000 0.0000  4 Ta 2.54
V 0.2500 0.7500 0.5000  4 Ta 2.54
Ta 0.3750 0.6239 0.7500  2 V 2.54, 2 Ta 2.65

***

So which one is most stable? That would be arrangement a, about 211 meV/atom below the next structure.

***

Arrangement a

Material: BaTa3V
Method: DFT, PBE-GGA
State: relaxed

Summary:
The space group is Pm-3m. The spin magnetization comes out at 0.613 μB per atom.

abc: 5.0442 5.0442 5.0442
angles: 90.00 90.00 90.00
Closest atoms and distances in Å follow each position.
Positions (direct):
Ta 0.5000 0.0000 0.0000  2 Ba 2.52
V 0.5000 0.5000 0.5000  12 Ta 3.57
Ba 0.0000 0.0000 0.0000  6 Ta 2.52
Ta 0.0000 0.0000 0.5000  2 Ba 2.52
Ta 0.0000 0.5000 0.0000  2 Ba 2.52

***

Arrangement b

Material: BaTa3V
Method: DFT, PBE-GGA
State: relaxed

Summary:
The space group is Pm-3m. The spin magnetization comes out at 0.000 μB per atom.

abc: 4.9083 4.9083 4.9083
angles: 90.00 90.00 90.00
Closest atoms and distances in Å follow each position.
Positions (direct):
V 0.0000 0.0000 0.0000  6 Ta 2.45
Ba 0.5000 0.5000 0.5000  12 Ta 3.47
Ta 0.5000 0.0000 0.0000  2 V 2.45
Ta 0.0000 0.0000 0.5000  2 V 2.45
Ta 0.0000 0.5000 0.0000  2 V 2.45

***

So which one is most stable? That would be arrangement b, about 1867 meV/atom below the next structure.

***

Arrangement a

Material: Ba2TaV
Method: DFT, PBE-GGA
State: relaxed

Summary:
The space group is I-42d. The spin magnetization comes out at 0.177 μB per atom.

abc: 9.0736 9.0736 7.1581
angles: 50.67 50.67 90.00
Closest atoms and distances in Å follow each position.
Positions (direct):
Ba 0.6039 0.1250 0.2500  2 V 3.18, 2 Ba 3.20, 2 Ta 3.44
Ba 0.3750 0.3961 0.7500  2 V 3.18, 2 Ba 3.20, 2 Ta 3.44
Ba 0.1461 0.6250 0.2500  2 V 3.18, 2 Ba 3.20, 2 Ta 3.44
V 0.2500 0.7500 0.5000  2 Ta 3.17, 4 Ba 3.18
Ba 0.8750 0.8539 0.7500  2 V 3.18, 2 Ba 3.20, 2 Ta 3.44
V 0.5000 0.5000 0.0000  2 Ta 3.17, 4 Ba 3.18
Ta 0.0000 0.0000 0.0000  2 V 3.17, 4 Ba 3.44
Ta 0.7500 0.2500 0.5000  2 V 3.17, 4 Ba 3.44

***

Arrangement b

Material: Ba2TaV
Method: DFT, PBE-GGA
State: relaxed

Summary:
The space group is Fm-3m. The spin magnetization comes out at 0.212 μB per atom.

abc: 5.6541 5.6541 5.6541
angles: 60.00 60.00 60.00
Closest atoms and distances in Å follow each position.
Positions (direct):
Ba 0.2500 0.2500 0.2500  4 Ta 3.46, 4 V 3.46
Ta 0.5000 0.5000 0.5000  8 Ba 3.46
V 0.0000 0.0000 0.0000  8 Ba 3.46
Ba 0.7500 0.7500 0.7500  4 Ta 3.46, 4 V 3.46

***

So which one is most stable? That would be arrangement b, about 222 meV/atom below the next structure.

***

Arrangement a

Material: BaTaW
Method: DFT, PBE-GGA
State: relaxed

Summary:
The space group is I4mm. The spin magnetization comes out at 0.000 μB per atom.

abc: 7.0115 7.0115 7.0115
angles: 151.52 151.52 40.71
Closest atoms and distances in Å follow each position.
Positions (direct):
Ta 0.2879 0.2879 0.0000  4 W 2.67
W 0.7049 0.7049 0.0000  4 Ta 2.67
Ba 0.0071 0.0071 0.0000  4 Ba 3.45, 4 W 3.57, 5 Ta 3.69-3.78

***

Arrangement b

Material: BaTaW
Method: DFT, PBE-GGA
State: relaxed

Summary:
The space group is F-43m. The spin magnetization comes out at 0.000 μB per atom.

abc: 4.7857 4.7857 4.7857
angles: 60.00 60.00 60.00
Closest atoms and distances in Å follow each position.
Positions (direct):
Ba 0.0000 0.0000 0.0000  4 W 2.93
W 0.7500 0.7500 0.7500  4 Ba 2.93, 4 Ta 2.93
Ta 0.5000 0.5000 0.5000  4 W 2.93

***

So which one is most stable? That would be arrangement a, about 762 meV/atom below the next structure.

***

Arrangement a

Material: BaTaW
Method: DFT, PBE-GGA
State: relaxed

Summary:
The space group is P3m1. The spin magnetization comes out at 0.000 μB per atom.

abc: 3.0276 3.0276 8.6733
angles: 90.00 90.00 120.00
Closest atoms and distances in Å follow each position.
Positions (direct):
Ba 0.0000 0.0000 0.9927  6 Ba 3.03
Ta 0.3333 0.6667 0.3665  3 W 2.95, 6 Ta 3.03
W 0.6667 0.3333 0.6407  3 Ta 2.95, 6 W 3.03

***

Arrangement b

Material: BaTaW
Method: DFT, PBE-GGA
State: relaxed

Summary:
The space group is Fmm2. The spin magnetization comes out at 0.000 μB per atom.

abc: 8.4933 8.2779 3.0835
angles: 83.37 75.49 21.14
Closest atoms and distances in Å follow each position.
Positions (direct):
W 0.6884 0.6884 0.3116  2 Ta 2.57
Ba 0.0048 0.0048 0.9952  6 Ba 3.08-3.43, 2 W 3.43
Ta 0.3068 0.3068 0.6932  2 W 2.57

***

So which one is most stable? That would be arrangement b, about 357 meV/atom below the next structure.